## BaNaIn4Pd2 (PBE)

Data for a relaxed structure of BaNaIn4Pd2.

total energy	-3.523	eV/atom

abc: 4.588 8.084 5.892
angles: 90.00 112.89 90.00
Sites, in units of the cell vectors:
In  0.850  0.209  0.701
In  0.154  0.687  0.308
In  0.850  0.791  0.701
In  0.154  0.313  0.308
Pd  0.278  0.000  0.556
Pd  0.715  0.500  0.429
Na  0.439  0.500  0.878
Ba  0.559  0.000  0.119